! InOsO3 | the Open Quantum Materials Database | PBE | relaxed; values from VASP
&SYSTEM
  ibrav = 0, nat = 5, ntyp = 3
/
ATOMIC_SPECIES
In 114.82 In.upf
Os 190.23 Os.upf
O 16.00 O.upf
ATOMIC_POSITIONS angstrom
In 0.0000 0.0000 0.0000
Os 1.9790 1.9790 2.1123
O 0.0000 1.9790 2.2137
O 1.9790 0.0000 2.2137
O 1.9790 1.9790 0.1713
CELL_PARAMETERS angstrom
3.9579 0.0000 0.0000
0.0000 3.9579 0.0000
0.0000 0.0000 3.9096
! - Total energy: -6.478 eV/atom
! - Symmetry: P4mm, No. 99